DFT (PBE) results for crystalline CrGaCu2 at its relaxed geometry.

Properties
DFT formation energy = 0.064 eV/atom

Cell: 3.836 3.728 3.728 Å, 90.00 90.00 90.00°
Element x y z (fractional)
Cr (0.500, 0.000, 0.000)
Cu (0.000, 0.000, 0.500)
Cu (0.000, 0.500, 0.000)
Ga (0.500, 0.500, 0.500)